Entry 1:
# RbSbPt2

A relaxed structure of RbSbPt2 (PBE, the Alexandria database).

```
4
Lattice="0.000 3.541 3.541 3.541 0.000 3.541 3.541 3.541 0.000" Properties=species:S:1:pos:R:3 pbc="T T T"
Sb 3.541 3.541 3.541
Rb 0.000 0.000 0.000
Pt 1.771 1.771 1.771
Pt 5.312 5.312 5.312
```

Total magnetic moment: 0.000 μB/atom
DFT total energy: -15.71 eV/cell
Formation energy without anion corrections: 364 meV per atom
Excess energy over the best structure of this formula in the dataset: 0.6817 eV per atom

=====

Entry 2:
# Rb3Sb4Pt7

A relaxed structure of Rb3Sb4Pt7 (PBE, the Alexandria database).

```
14
Lattice="4.347 0.000 1.097 1.854 10.278 1.815 0.113 -0.984 8.718" Properties=species:S:1:pos:R:3 pbc="T T T"
Rb 1.768 1.782 2.155
Rb 4.546 7.512 9.474
Rb 0.983 4.647 5.266
Sb 3.870 4.924 2.987
Sb 2.443 4.369 8.643
Sb 5.677 8.824 4.990
Sb 0.637 0.470 6.639
Pt 3.119 9.301 5.963
Pt 2.756 1.973 7.402
Pt 4.596 3.003 9.276
Pt 3.194 -0.008 5.666
Pt 1.718 6.291 2.353
Pt 0.000 0.000 0.000
Pt 3.557 7.321 4.227
```

Total magnetic moment: 0.000 μB/atom
DFT total energy: -66.44 eV/cell
Formation energy without anion corrections: -340 meV per atom

=====

Entry 3:
# RbSbPt2

A relaxed structure of RbSbPt2 (PBE, the Alexandria database).

```
8
Lattice="-1.740 -2.076 -4.706 1.321 -4.226 4.508 -5.982 0.333 2.065" Properties=species:S:1:pos:R:3 pbc="T T T"
Rb -1.980 -5.462 0.008
Rb -4.422 -0.507 1.859
Sb -1.290 -2.315 1.498
Sb -5.111 -3.654 0.369
Pt -5.362 -3.742 3.633
Pt -1.040 -2.227 -1.766
Pt -3.485 -2.091 -0.922
Pt -2.916 -3.878 2.789
```

Total magnetic moment: 0.000 μB/atom
DFT total energy: -35.22 eV/cell
Formation energy without anion corrections: -110 meV per atom
Excess energy over the best structure of this formula in the dataset: 0.2078 eV per atom

=====

Entry 4:
# RbSb4Pt4

A relaxed structure of RbSb4Pt4 (PBE, the Alexandria database).

```
18
Lattice="5.380 0.000 0.000 0.000 9.222 0.000 0.000 0.000 9.222" Properties=species:S:1:pos:R:3 pbc="T T T"
Rb 0.000 0.000 0.000
Rb 2.690 4.611 4.611
Sb 2.244 3.383 7.997
Sb 4.934 5.836 7.994
Sb 2.244 5.839 1.225
Sb 0.446 1.228 5.836
Sb 3.136 7.997 5.839
Sb 0.446 7.994 3.386
Sb 4.934 3.386 1.228
Sb 3.136 1.225 3.383
Pt 3.107 7.814 2.933
Pt 3.107 1.408 6.289
Pt 0.417 7.544 6.019
Pt 4.963 3.203 7.544
Pt 4.963 6.019 1.678
Pt 2.273 2.933 1.408
Pt 2.273 6.289 7.814
Pt 0.417 1.678 3.203
```

Total magnetic moment: 0.000 μB/atom
DFT total energy: -90.20 eV/cell
Formation energy without anion corrections: -386 meV per atom

=====

Entry 5:
# RbSb12Pt4

A relaxed structure of RbSb12Pt4 (PBE, the Alexandria database).

```
17
Lattice="-4.722 0.335 6.895 -2.469 -6.419 -4.761 8.013 -1.048 2.157" Properties=species:S:1:pos:R:3 pbc="T T T"
Rb 0.000 0.000 0.000
Sb -3.315 -2.142 4.575
Sb -1.625 -3.279 0.332
Sb 1.024 -1.419 6.248
Sb 4.651 -1.988 3.305
Sb -0.201 -5.713 -1.956
Sb 2.447 -3.853 3.959
Sb 0.015 -1.200 3.473
Sb 0.807 -5.932 0.818
Sb -3.829 -5.144 0.987
Sb -1.616 -4.431 3.777
Sb 2.438 -2.701 0.515
Sb 4.137 -4.990 -0.283
Pt -1.234 -3.209 -2.380
Pt -2.361 0.168 3.448
Pt 0.411 -3.566 2.146
Pt 4.006 -0.524 1.078
```

Total magnetic moment: 0.000 μB/atom
DFT total energy: -80.28 eV/cell
Formation energy without anion corrections: -334 meV per atom

=====

Entry 6:
# Rb2Sb2Pt

A relaxed structure of Rb2Sb2Pt (PBE, the Alexandria database).

```
10
Lattice="7.096 0.000 0.000 0.000 7.096 0.000 0.000 0.000 6.171" Properties=species:S:1:pos:R:3 pbc="T T T"
Sb 2.507 6.055 0.000
Sb 6.055 4.589 0.000
Sb 4.589 1.041 0.000
Sb 1.041 2.507 0.000
Rb 1.219 4.767 3.086
Rb 4.767 5.877 3.086
Rb 5.877 2.329 3.086
Rb 2.329 1.219 3.086
Pt 0.000 0.000 0.000
Pt 3.548 3.548 0.000
```

Total magnetic moment: 0.000 μB/atom
DFT total energy: -36.10 eV/cell
Formation energy without anion corrections: -366 meV per atom